{
  "formula": "Zn2SiSnH",
  "functional": "PBE-GGA",
  "state": "relaxed",
  "e_tot_ev_per_atom": -2.59,
  "n_ef_per_ev_atom": 0.379,
  "space_group": "P4/mmm",
  "cell": [[4.279, 0.000, 0.000], [0.000, 4.279, 0.000], [0.000, 0.000, 4.394]],
  "species": ["Zn", "Zn", "Si", "Sn", "H"],
  "frac_coords": [[0.000, 0.500, 0.000], [0.500, 0.000, 0.000], [0.000, 0.000, 0.500], [0.500, 0.500, 0.500], [0.500, 0.500, 0.000]]
}